The following is a PBE calculation of YTaCl after structural relaxation, from the Alexandria database.

a = 3.3378 Å, b = 3.3378 Å, c = 7.7547 Å
α = 90.00°, β = 90.00°, γ = 120.00°
Atoms (fractional coordinates):
Y1 0.0000 0.0000 0.0000
Ta1 0.3333 0.6667 0.6892
Cl1 0.6667 0.3333 0.2518

**Formation energy (no corrections)**: -43 kJ/mol of formula units
**DOS at the Fermi energy**: 0.98 states/eV/atom
**Theoretical density**: 6.78 Mg/m³
**E above lowest polymorph**: 0.0 meV per atom
**SG**: P3m1 (156)
**V**: 24.9 Å³ per atom

---

The following is a PBE calculation of Ho4TmGa2 after structural relaxation, from the Alexandria database.

a = 6.3942 Å, b = 6.6712 Å, c = 9.7571 Å
α = 95.76°, β = 105.35°, γ = 103.99°
Atoms (fractional coordinates):
Ho1 0.0000 0.0000 0.0000
Ho2 0.0316 0.5111 0.0856
Ho3 0.1273 0.4848 0.5473
Ho4 0.3650 0.9112 0.4000
Ho5 0.4896 0.1190 0.9434
Ho6 0.5432 0.6454 0.0206
Ho7 0.6657 0.3837 0.6944
Ho8 0.9445 0.9390 0.6062
Tm1 0.4514 0.3986 0.3180
Tm2 0.8339 0.1168 0.2736
Ga1 0.1239 0.7039 0.8225
Ga2 0.1473 0.3231 0.8204
Ga3 0.5310 0.8271 0.7149
Ga4 0.8760 0.6879 0.3173

**Energy relative to the elements**: -0.24 eV per atom
**DOS at the Fermi energy**: 1.01 states/eV/atom
**Theoretical density**: 8.39 Mg/m³
**SG**: P1 (1)
**V**: 27.4 Å³ per atom

---

The following is a PBE calculation of Zr5NpAs6 after structural relaxation, from the Alexandria database.

a = 6.7694 Å, b = 6.7694 Å, c = 6.7677 Å
α = 99.62°, β = 99.62°, γ = 120.03°
Atoms (fractional coordinates):
Zr1 0.0000 0.0000 0.0000
Zr2 0.1687 0.8313 0.5000
Zr3 0.3333 0.6667 0.0000
Zr4 0.6667 0.3333 0.0000
Zr5 0.8313 0.1687 0.5000
Np1 0.5000 0.5000 0.5000
As1 0.0780 0.4148 0.2453
As2 0.2452 0.2452 0.7500
As3 0.4148 0.0780 0.2453
As4 0.5852 0.9220 0.7547
As5 0.7548 0.7548 0.2500
As6 0.9220 0.5852 0.7547

**Energy relative to the elements**: -1.05 eV per atom
**DOS at the Fermi energy**: 1.12 states/eV/atom
**Theoretical density**: 7.50 Mg/m³
**SG**: C2/m (12)
**V**: 21.1 Å³ per atom

---

The following is a PBE calculation of NaCuSi after structural relaxation, from the Alexandria database.

a = 4.3345 Å, b = 4.3345 Å, c = 3.0598 Å
α = 90.00°, β = 90.00°, γ = 120.00°
Atoms (fractional coordinates):
Na1 0.0000 0.0000 0.0000
Cu1 0.3333 0.6667 0.5000
Si1 0.6667 0.3333 0.5000

**Formation energy (no corrections)**: 46 kJ/mol of formula units
**DOS at the Fermi energy**: 0.26 states/eV/atom
**Theoretical density**: 3.82 Mg/m³
**SG**: P-6m2 (187)
**V**: 16.6 Å³ per atom

---

The following is a PBE calculation of CdCo4I2 after structural relaxation, from the Alexandria database.

a = 7.5001 Å, b = 7.5001 Å, c = 7.5001 Å
α = 142.40°, β = 142.40°, γ = 54.23°
Atoms (fractional coordinates):
Cd1 0.0000 0.0000 0.0000
Co1 0.0000 0.5000 0.5000
Co2 0.1897 0.1897 0.0000
Co3 0.5000 0.0000 0.5000
Co4 0.8103 0.8103 0.0000
I1 0.3719 0.3719 0.0000
I2 0.6281 0.6281 0.0000

**Formation energy (no corrections)**: 873 kJ/mol of formula units
**DOS at the Fermi energy**: 2.13 states/eV/atom
**Theoretical density**: 6.41 Mg/m³
**SG**: I4/mmm (139)
**V**: 22.3 Å³ per atom

---

The following is a PBE calculation of TlRhI2N after structural relaxation, from the Alexandria database.

a = 5.9181 Å, b = 5.9181 Å, c = 3.7546 Å
α = 90.00°, β = 90.00°, γ = 90.00°
Atoms (fractional coordinates):
Tl1 0.0000 0.0000 0.0000
Rh1 0.5000 0.5000 0.5000
I1 0.0000 0.5000 0.5000
I2 0.5000 0.0000 0.5000
N1 0.5000 0.5000 0.0000

**Formation energy (no corrections)**: 66 kJ/mol of formula units
**DOS at the Fermi energy**: 0.52 states/eV/atom
**Theoretical density**: 7.26 Mg/m³
**E above lowest polymorph**: 0.0 meV per atom
**SG**: P4/mmm (123)
**V**: 26.3 Å³ per atom

---

The following is a PBE calculation of BeSbAu after structural relaxation, from the Alexandria database.

a = 2.9808 Å, b = 3.0827 Å, c = 12.4173 Å
α = 88.98°, β = 83.48°, γ = 90.00°
Atoms (fractional coordinates):
Be1 0.0000 0.0000 0.0000
Be2 0.1050 0.0130 0.7775
Sb1 0.7725 0.9990 0.4589
Sb2 0.8925 0.9867 0.2031
Au1 0.5442 0.5070 0.9049
Au2 0.6586 0.5195 0.6702

**Formation energy (no corrections)**: 7 kJ/mol of formula units
**DOS at the Fermi energy**: 0.28 states/eV/atom
**Theoretical density**: 9.60 Mg/m³
**SG**: P1 (1)
**V**: 18.9 Å³ per atom

---

The following is a PBE calculation of Sm2Ho2TmSc after structural relaxation, from the Alexandria database.

a = 6.8324 Å, b = 5.5535 Å, c = 9.6091 Å
α = 90.00°, β = 90.00°, γ = 90.00°
Atoms (fractional coordinates):
Sm1 0.0000 0.0000 0.0000
Sm2 0.2500 0.5000 0.1845
Sm3 0.5000 0.0000 0.0000
Sm4 0.7500 0.5000 0.8155
Ho1 0.2500 0.0000 0.3320
Ho2 0.2500 0.5000 0.8361
Ho3 0.7500 0.0000 0.6680
Ho4 0.7500 0.5000 0.1639
Tm1 0.2500 0.0000 0.6539
Tm2 0.7500 0.0000 0.3461
Sc1 0.0000 0.5000 0.5000
Sc2 0.5000 0.5000 0.5000

**Energy relative to the elements**: 0.10 eV per atom
**DOS at the Fermi energy**: 1.58 states/eV/atom
**Theoretical density**: 7.69 Mg/m³
**SG**: Pmma (51)
**V**: 30.4 Å³ per atom

---

The following is a PBE calculation of CaSb2 after structural relaxation, from the Alexandria database.

a = 5.5043 Å, b = 5.5043 Å, c = 6.5642 Å
α = 90.00°, β = 90.00°, γ = 120.00°
Atoms (fractional coordinates):
Ca1 0.3333 0.6667 0.2500
Ca2 0.6667 0.3333 0.7500
Sb1 0.0000 0.0000 0.0000
Sb2 0.0000 0.0000 0.5000
Sb3 0.3333 0.6667 0.7500
Sb4 0.6667 0.3333 0.2500

**Formation energy (no corrections)**: -115 kJ/mol of formula units
**DOS at the Fermi energy**: 0.82 states/eV/atom
**Theoretical density**: 5.47 Mg/m³
**SG**: P6_3/mmc (194)
**V**: 28.7 Å³ per atom

---

The following is a PBE calculation of FeRe2Pd after structural relaxation, from the Alexandria database.

a = 5.5105 Å, b = 5.5105 Å, c = 5.5105 Å
α = 102.45°, β = 102.45°, γ = 124.68°
Atoms (fractional coordinates):
Fe1 0.0000 0.0000 0.0000
Fe2 0.7500 0.2500 0.5000
Re1 0.0724 0.6250 0.9474
Re2 0.3750 0.3224 0.4474
Re3 0.6776 0.1250 0.0526
Re4 0.8750 0.9276 0.5526
Pd1 0.2500 0.7500 0.5000
Pd2 0.5000 0.5000 0.0000

**Energy relative to the elements**: 0.67 eV per atom
**DOS at the Fermi energy**: 0.04 states/eV/atom
**Theoretical density**: 14.57 Mg/m³
**E above lowest polymorph**: 543.5 meV per atom
**SG**: I-42d (122)
**V**: 15.2 Å³ per atom

---

The following is a PBE calculation of Rb2SrTc2 after structural relaxation, from the Alexandria database.

a = 10.2845 Å, b = 10.2845 Å, c = 3.3902 Å
α = 90.00°, β = 90.00°, γ = 90.00°
Atoms (fractional coordinates):
Rb1 0.2041 0.2959 0.0000
Rb2 0.2959 0.7959 0.0000
Rb3 0.7041 0.2041 0.0000
Rb4 0.7959 0.7041 0.0000
Sr1 0.0000 0.0000 0.5000
Sr2 0.5000 0.5000 0.5000
Tc1 0.0716 0.5716 0.5000
Tc2 0.4284 0.0716 0.5000
Tc3 0.5716 0.9284 0.5000
Tc4 0.9284 0.4284 0.5000

**Energy relative to the elements**: 1.32 eV per atom
**DOS at the Fermi energy**: 1.12 states/eV/atom
**Theoretical density**: 4.21 Mg/m³
**E above lowest polymorph**: 108.2 meV per atom
**SG**: P4/mbm (127)
**V**: 35.9 Å³ per atom

---

The following is a PBE calculation of LiPrPb2Se4 after structural relaxation, from the Alexandria database.

a = 7.3071 Å, b = 4.3045 Å, c = 7.5109 Å
α = 90.00°, β = 108.89°, γ = 90.00°
Atoms (fractional coordinates):
Li1 0.0000 0.0000 0.0000
Pr1 0.5000 0.5000 0.0000
Pb1 0.0000 0.5000 0.5000
Pb2 0.5000 0.0000 0.5000
Se1 0.2427 0.5000 0.2337
Se2 0.2497 0.0000 0.7663
Se3 0.7503 0.0000 0.2337
Se4 0.7573 0.5000 0.7663

**Formation energy (no corrections)**: -830 kJ/mol of formula units
**Theoretical density**: 6.52 Mg/m³
**SG**: P2/m (10)
**V**: 27.9 Å³ per atom

---

The following is a PBE calculation of PmMgPb after structural relaxation, from the Alexandria database.

a = 8.7654 Å, b = 8.7654 Å, c = 8.7654 Å
α = 150.00°, β = 150.00°, γ = 42.94°
Atoms (fractional coordinates):
Pm1 0.1633 0.1633 0.0000
Pm2 0.8367 0.8367 0.0000
Mg1 0.0000 0.5000 0.5000
Mg2 0.5000 0.0000 0.5000
Pb1 0.3636 0.3636 0.0000
Pb2 0.6364 0.6364 0.0000

**Energy relative to the elements**: -0.47 eV per atom
**DOS at the Fermi energy**: 0.32 states/eV/atom
**Theoretical density**: 7.45 Mg/m³
**E above lowest polymorph**: 0.0 meV per atom
**SG**: I4/mmm (139)
**V**: 28.0 Å³ per atom

---

The following is a PBE calculation of Fe2GeSb after structural relaxation, from the Alexandria database.

a = 4.2962 Å, b = 4.2962 Å, c = 4.2962 Å
α = 60.00°, β = 60.00°, γ = 60.00°
Atoms (fractional coordinates):
Fe1 0.2500 0.2500 0.2500
Fe2 0.7500 0.7500 0.7500
Ge1 0.0000 0.0000 0.0000
Sb1 0.5000 0.5000 0.5000

**Formation energy (no corrections)**: 100 kJ/mol of formula units
**DOS at the Fermi energy**: 1.01 states/eV/atom
**Theoretical density**: 9.07 Mg/m³
**E above lowest polymorph**: 0.0 meV per atom
**SG**: Fm-3m (225)
**V**: 14.0 Å³ per atom

---

The following is a PBE calculation of CsAg2Pd after structural relaxation, from the Alexandria database.

a = 10.0787 Å, b = 10.0787 Å, c = 10.0787 Å
α = 148.49°, β = 148.49°, γ = 45.16°
Atoms (fractional coordinates):
Cs1 0.3750 0.6250 0.7500
Cs2 0.6250 0.3750 0.2500
Ag1 0.0000 0.0000 0.0000
Ag2 0.0000 0.0000 0.5000
Ag3 0.0000 0.5000 0.0000
Ag4 0.5000 0.0000 0.5000
Pd1 0.1250 0.8750 0.2500
Pd2 0.8750 0.1250 0.7500

**Energy relative to the elements**: 0.18 eV per atom
**DOS at the Fermi energy**: 0.21 states/eV/atom
**Theoretical density**: 5.42 Mg/m³
**E above lowest polymorph**: 186.5 meV per atom
**SG**: I4_1/amd (141)
**V**: 34.8 Å³ per atom

---

The following is a PBE calculation of ZrP2IO after structural relaxation, from the Alexandria database.

a = 5.0749 Å, b = 5.0749 Å, c = 3.8980 Å
α = 90.00°, β = 90.00°, γ = 90.00°
Atoms (fractional coordinates):
Zr1 0.0000 0.0000 0.0000
P1 0.0000 0.5000 0.5000
P2 0.5000 0.0000 0.5000
I1 0.5000 0.5000 0.5000
O1 0.5000 0.5000 0.0000

**Formation energy (no corrections)**: 272 kJ/mol of formula units
**DOS at the Fermi energy**: 0.70 states/eV/atom
**Theoretical density**: 4.90 Mg/m³
**E above lowest polymorph**: 920.3 meV per atom
**SG**: P4/mmm (123)
**V**: 20.1 Å³ per atom

---

The following is a PBE calculation of La3TbY3 after structural relaxation, from the Alexandria database.

a = 8.3407 Å, b = 8.3407 Å, c = 8.3407 Å
α = 69.50°, β = 69.50°, γ = 69.50°
Atoms (fractional coordinates):
La1 0.1289 0.8335 0.2676
La2 0.1665 0.7324 0.8711
La3 0.2676 0.1289 0.8335
La4 0.7324 0.8711 0.1665
La5 0.8335 0.2676 0.1289
La6 0.8711 0.1665 0.7324
Tb1 0.4084 0.4084 0.4084
Tb2 0.5916 0.5916 0.5916
Y1 0.0228 0.4443 0.3105
Y2 0.3105 0.0228 0.4443
Y3 0.4443 0.3105 0.0228
Y4 0.5557 0.6895 0.9772
Y5 0.6895 0.9772 0.5557
Y6 0.9772 0.5557 0.6895

**Energy relative to the elements**: 0.14 eV per atom
**DOS at the Fermi energy**: 1.48 states/eV/atom
**Theoretical density**: 5.69 Mg/m³
**SG**: R-3 (148)
**V**: 35.1 Å³ per atom

---

The following is a PBE calculation of Mg2BeNi3 after structural relaxation, from the Alexandria database.

a = 4.6025 Å, b = 4.6025 Å, c = 4.6025 Å
α = 64.47°, β = 64.47°, γ = 64.47°
Atoms (fractional coordinates):
Mg1 0.1258 0.1258 0.1258
Mg2 0.8742 0.8742 0.8742
Be1 0.5000 0.5000 0.5000
Ni1 0.0000 0.5000 0.5000
Ni2 0.5000 0.0000 0.5000
Ni3 0.5000 0.5000 0.0000

**Energy relative to the elements**: -0.27 eV per atom
**DOS at the Fermi energy**: 0.67 states/eV/atom
**Theoretical density**: 5.13 Mg/m³
**SG**: R-3m (166)
**V**: 12.6 Å³ per atom

---

The following is a PBE calculation of CoRe2Te after structural relaxation, from the Alexandria database.

a = 5.9799 Å, b = 5.9799 Å, c = 5.9799 Å
α = 150.31°, β = 141.64°, γ = 49.24°
Atoms (fractional coordinates):
Co1 0.0000 0.0000 0.0000
Re1 0.2959 0.7959 0.5000
Re2 0.7041 0.2041 0.5000
Te1 0.5000 0.5000 0.0000

**Formation energy (no corrections)**: 286 kJ/mol of formula units
**DOS at the Fermi energy**: 0.89 states/eV/atom
**Theoretical density**: 14.18 Mg/m³
**SG**: Immm (71)
**V**: 16.4 Å³ per atom

---

The following is a PBE calculation of LiZrHgCl6 after structural relaxation, from the Alexandria database.

a = 6.6184 Å, b = 6.6184 Å, c = 6.4476 Å
α = 90.03°, β = 90.03°, γ = 120.01°
Atoms (fractional coordinates):
Li1 0.0000 0.0000 0.0000
Zr1 0.3335 0.6665 0.0000
Hg1 0.6668 0.3332 0.5000
Cl1 0.0400 0.3432 0.2213
Cl2 0.0395 0.6964 0.7789
Cl3 0.3031 0.3429 0.7786
Cl4 0.3036 0.9605 0.2211
Cl5 0.6571 0.6969 0.2214
Cl6 0.6568 0.9600 0.7787

**Formation energy (no corrections)**: -1236 kJ/mol of formula units
**DOS at the Fermi energy**: 0.49 states/eV/atom
**Theoretical density**: 3.47 Mg/m³
**SG**: C2 (5)
**V**: 27.2 Å³ per atom